A crystal of Ba5Ta2Cl2O9 relaxed with PBEsol. Source: Alexandria via LeMat-Bulk, functional meta-GGA SCAN.

Unit cell a=5.9429 b=5.9429 c=24.8312 alpha=90.00 beta=90.00 gamma=120.00
Positions (direct):
1 Ba 0.3333 0.6667 0.0811
2 Ba 0.3333 0.6667 0.2500
3 Ba 0.3333 0.6667 0.4189
4 Ba 0.3333 0.6667 0.6720
5 Ba 0.3333 0.6667 0.8280
6 Ba 0.6667 0.3333 0.1720
7 Ba 0.6667 0.3333 0.3280
8 Ba 0.6667 0.3333 0.5811
9 Ba 0.6667 0.3333 0.7500
10 Ba 0.6667 0.3333 0.9189
11 Ta 0.0000 0.0000 0.1898
12 Ta 0.0000 0.0000 0.3102
13 Ta 0.0000 0.0000 0.6898
14 Ta 0.0000 0.0000 0.8102
15 Cl 0.3333 0.6667 0.5472
16 Cl 0.3333 0.6667 0.9528
17 Cl 0.6667 0.3333 0.0472
18 Cl 0.6667 0.3333 0.4528
19 O 0.1487 0.2975 0.7500
20 O 0.1487 0.8513 0.7500
21 O 0.1637 0.3275 0.1552
22 O 0.1637 0.3275 0.3448
23 O 0.1637 0.8363 0.1552
24 O 0.1637 0.8363 0.3448
25 O 0.2975 0.1487 0.2500
26 O 0.3275 0.1637 0.6552
27 O 0.3275 0.1637 0.8448
28 O 0.6725 0.8363 0.1552
29 O 0.6725 0.8363 0.3448
30 O 0.7025 0.8513 0.7500
31 O 0.8363 0.1637 0.6552
32 O 0.8363 0.1637 0.8448
33 O 0.8363 0.6725 0.6552
34 O 0.8363 0.6725 0.8448
35 O 0.8513 0.1487 0.2500
36 O 0.8513 0.7025 0.2500

Summary:
Formation energy from raw total energies ... -3.155 eV/atom
M_tot ... 0.00 μB/cell